1.
A plane-wave DFT calculation with PBE-GGA was carried out for Nb5Mo3 after structural relaxation.

Cell and atoms, written as POSCAR:
```
Nb5Mo3
1.0
3.242 0.000 0.000
0.000 3.242 0.000
0.000 0.000 13.077
Mo Nb
3 5
Direct
0.000 0.000 0.125
0.500 0.500 0.500
0.000 0.000 0.875
0.500 0.500 0.000
0.500 0.500 0.244
0.000 0.000 0.378
0.000 0.000 0.622
0.500 0.500 0.756
```

Properties
total energy = -10.477 eV/atom
DFT formation energy = -0.80 eV/f.u.
total magnetization = 0.0017 μB per atom
symmetry = P4/mmm (123)

2.
A plane-wave DFT calculation with PBE-GGA was carried out for Nb2Mo after structural relaxation.

Cell and atoms, written as POSCAR:
```
Nb2Mo
1.0
5.375 0.000 0.000
-2.687 4.654 0.000
0.000 0.000 17.441
Mo Nb
8 16
Direct
0.000 0.000 0.096
0.667 0.333 0.156
0.667 0.333 0.344
0.000 0.000 0.404
0.000 0.000 0.596
0.333 0.667 0.656
0.333 0.667 0.844
0.000 0.000 0.904
0.500 0.000 0.000
0.000 0.500 0.000
0.500 0.500 0.000
0.333 0.667 0.124
0.163 0.325 0.250
0.163 0.837 0.250
0.675 0.837 0.250
0.333 0.667 0.376
0.500 0.000 0.500
0.000 0.500 0.500
0.500 0.500 0.500
0.667 0.333 0.624
0.325 0.163 0.750
0.837 0.163 0.750
0.837 0.675 0.750
0.667 0.333 0.876
```

Properties
total energy = -9.908 eV/atom
DFT formation energy = 1.31 eV/f.u.
total magnetization = 0.0001 μB per atom
symmetry = P6_3/mmc (194)

3.
A plane-wave DFT calculation with PBE-GGA was carried out for Nb2Mo after structural relaxation.

Cell and atoms, written as POSCAR:
```
Nb2Mo
1.0
-4.484 -3.363 5.456
3.273 -4.362 5.608
0.192 2.608 7.372
Mo Nb
2 4
Direct
0.250 0.250 0.250
0.500 0.500 0.500
0.375 0.375 0.375
0.875 0.375 0.375
0.375 0.875 0.375
0.375 0.375 0.875
```

Properties
total energy = -6.995 eV/atom
DFT formation energy = 10.05 eV/f.u.
total magnetization = 0.7990 μB per atom
symmetry = Fd-3m (227)

4.
A plane-wave DFT calculation with PBE-GGA was carried out for Nb2Mo after structural relaxation.

Cell and atoms, written as POSCAR:
```
Nb2Mo
1.0
0.815 -4.330 -0.379
-2.175 -2.405 -3.007
2.129 -1.547 -3.554
Mo Nb
1 2
Direct
0.000 0.000 0.000
0.250 0.250 0.250
0.750 0.750 0.750
```

Properties
total energy = -9.692 eV/atom
DFT formation energy = 1.96 eV/f.u.
total magnetization = 0.0008 μB per atom
symmetry = Fm-3m (225)

5.
A plane-wave DFT calculation with PBE-GGA was carried out for NbNi6Mo after structural relaxation.

Cell and atoms, written as POSCAR:
```
NbNi6Mo
1.0
-1.212 2.492 -3.217
1.244 -3.640 -3.288
-4.168 -1.673 0.275
Mo Nb Ni
1 1 6
Direct
0.000 0.000 0.152
0.500 0.500 0.847
0.000 0.500 0.180
0.500 0.244 0.338
0.500 0.756 0.338
0.000 0.245 0.658
0.000 0.755 0.658
0.500 0.000 0.829
```

Properties
total energy = -6.993 eV/atom
DFT formation energy = -1.60 eV/f.u.
total magnetization = 0.0000 μB per atom
symmetry = Pmm2 (25)

6.
A plane-wave DFT calculation with PBE-GGA was carried out for NbNiSbMo after structural relaxation.

Cell and atoms, written as POSCAR:
```
NbNiSbMo
1.0
-1.337 3.170 2.938
-0.074 4.349 -1.243
-3.954 2.115 -0.599
Mo Nb Ni Sb
1 1 1 1
Direct
0.250 0.250 0.250
0.500 0.500 0.500
0.750 0.750 0.750
0.000 0.000 0.000
```

Properties
total energy = -7.542 eV/atom
total magnetization = 0.0089 μB per atom
symmetry = F-43m (216)

7.
A plane-wave DFT calculation with PBE-GGA was carried out for NbSiNiMo after structural relaxation.

Cell and atoms, written as POSCAR:
```
NbSiNiMo
1.0
0.000 3.064 3.064
3.064 0.000 3.064
3.064 3.064 0.000
Mo Nb Ni Si
1 1 1 1
Direct
0.250 0.250 0.250
0.500 0.500 0.500
0.750 0.750 0.750
0.000 0.000 0.000
```

Properties
total energy = -8.095 eV/atom
total magnetization = 0.0008 μB per atom
symmetry = F-43m (216)

8.
A plane-wave DFT calculation with PBE-GGA was carried out for NbNiSnMo after structural relaxation.

Cell and atoms, written as POSCAR:
```
NbNiSnMo
1.0
2.001 -4.022 0.597
-2.475 -3.610 1.172
-0.691 -3.339 -2.984
Mo Nb Ni Sn
1 1 1 1
Direct
0.250 0.250 0.250
0.500 0.500 0.500
0.750 0.750 0.750
0.000 0.000 0.000
```

Properties
total energy = -7.560 eV/atom
total magnetization = 0.0005 μB per atom
symmetry = F-43m (216)

9.
A plane-wave DFT calculation with PBE-GGA was carried out for NbTlNiMo after structural relaxation.

Cell and atoms, written as POSCAR:
```
NbTlNiMo
1.0
0.000 3.236 3.236
3.236 0.000 3.236
3.236 3.236 0.000
Mo Nb Ni Tl
1 1 1 1
Direct
0.250 0.250 0.250
0.500 0.500 0.500
0.750 0.750 0.750
0.000 0.000 0.000
```

Properties
total energy = -6.781 eV/atom
total magnetization = 0.0012 μB per atom
symmetry = F-43m (216)

10.
A plane-wave DFT calculation with PBE-GGA was carried out for NpNbMo after structural relaxation.

Cell and atoms, written as POSCAR:
```
NpNbMo
1.0
0.000 3.116 3.116
3.116 0.000 3.116
3.116 3.116 0.000
Mo Nb Np
1 1 1
Direct
0.500 0.500 0.500
0.000 0.000 0.000
0.250 0.250 0.250
```

Properties
total energy = -10.086 eV/atom
DFT formation energy = 3.45 eV/f.u.
total magnetization = 0.0046 μB per atom
symmetry = F-43m (216)

11.
A plane-wave DFT calculation with PBE-GGA was carried out for NpNbMo after structural relaxation.

Cell and atoms, written as POSCAR:
```
NpNbMo
1.0
0.000 3.154 3.154
3.154 0.000 3.154
3.154 3.154 0.000
Mo Nb Np
1 1 1
Direct
0.000 0.000 0.000
0.250 0.250 0.250
0.750 0.750 0.750
```

Properties
total energy = -10.522 eV/atom
DFT formation energy = 2.14 eV/f.u.
total magnetization = 1.1064 μB per atom
symmetry = F-43m (216)

12.
A plane-wave DFT calculation with PBE-GGA was carried out for Nb2MoOs after structural relaxation.

Cell and atoms, written as POSCAR:
```
Nb2MoOs
1.0
-3.246 -2.969 -1.099
4.474 -4.398 -1.333
-0.410 -4.323 12.892
Mo Nb Os
6 12 6
Direct
0.000 0.000 0.000
0.500 0.500 0.167
0.000 0.000 0.333
0.500 0.500 0.500
0.000 0.000 0.667
0.500 0.500 0.833
0.500 0.250 0.000
0.500 0.750 0.000
0.000 0.250 0.167
0.000 0.750 0.167
0.500 0.250 0.333
0.500 0.750 0.333
0.000 0.250 0.500
0.000 0.750 0.500
0.500 0.250 0.667
0.500 0.750 0.667
0.000 0.250 0.833
0.000 0.750 0.833
0.000 0.500 0.000
0.500 0.000 0.167
0.000 0.500 0.333
0.500 0.000 0.500
0.000 0.500 0.667
0.500 0.000 0.833
```

Properties
total energy = -10.815 eV/atom
DFT formation energy = -1.00 eV/f.u.
total magnetization = 0.0002 μB per atom
symmetry = Fm-3m (225)